(1)
BaZrIn | GGA-PBEsol | optimized geometry

```
data_BaZrIn
_chemical_formula_sum 'Ba4 Zr4 In4'
_symmetry_space_group_name_H-M 'F -4 3 m'
_symmetry_Int_Tables_number 216
_symmetry_space_group_name_Hall 'F -4 2 3'
_cell_length_a 7.389
_cell_length_b 7.389
_cell_length_c 7.389
_cell_angle_alpha 90.00
_cell_angle_beta 90.00
_cell_angle_gamma 90.00
loop_
_atom_site_label
_atom_site_type_symbol
_atom_site_fract_x
_atom_site_fract_y
_atom_site_fract_z
Ba1 Ba 0.000 0.000 0.000
Zr1 Zr 0.250 0.250 0.250
In1 In 0.250 0.250 0.750
```

Relative energy among the computed polymorphs, meV per atom: 516
E_form, meV/atom: 1075.2


(2)
KZnIr | GGA-PBEsol | optimized geometry

```
data_KZnIr
_chemical_formula_sum 'K4 Zn4 Ir4'
_symmetry_space_group_name_H-M 'F -4 3 m'
_symmetry_Int_Tables_number 216
_symmetry_space_group_name_Hall 'F -4 2 3'
_cell_length_a 6.587
_cell_length_b 6.587
_cell_length_c 6.587
_cell_angle_alpha 90.00
_cell_angle_beta 90.00
_cell_angle_gamma 90.00
loop_
_atom_site_label
_atom_site_type_symbol
_atom_site_fract_x
_atom_site_fract_y
_atom_site_fract_z
K1 K 0.000 0.000 0.000
Zn1 Zn 0.250 0.250 0.250
Ir1 Ir 0.250 0.250 0.750
```

Relative energy among the computed polymorphs, meV per atom: 1378
E_form, meV/atom: 1885.8


(3)
Be2PtCl | GGA-PBEsol | optimized geometry

```
data_Be2PtCl
_chemical_formula_sum 'Be2 Pt1 Cl1'
_symmetry_space_group_name_H-M 'P 1 m 1'
_symmetry_Int_Tables_number 6
_cell_length_a 3.394
_cell_length_b 2.897
_cell_length_c 6.678
_cell_angle_alpha 90.00
_cell_angle_beta 92.28
_cell_angle_gamma 90.00
loop_
_symmetry_equiv_pos_as_xyz
'x,y,z'
'x,-y,z'
loop_
_atom_site_label
_atom_site_type_symbol
_atom_site_fract_x
_atom_site_fract_y
_atom_site_fract_z
Be1 Be 0.000 0.000 0.000
Be2 Be 0.024 0.500 0.306
Pt1 Pt 0.519 0.000 0.247
Cl1 Cl 0.982 0.500 0.797
```

Relative energy among the computed polymorphs, meV per atom: 0


(4)
Li2HgP | GGA-PBEsol | optimized geometry

```
data_Li2HgP
_chemical_formula_sum 'Li4 Hg2 P2'
_symmetry_space_group_name_H-M 'C 1 2/m 1'
_symmetry_Int_Tables_number 12
_cell_length_a 7.804
_cell_length_b 2.754
_cell_length_c 6.401
_cell_angle_alpha 90.00
_cell_angle_beta 98.60
_cell_angle_gamma 90.00
loop_
_symmetry_equiv_pos_as_xyz
'x,y,z'
'-x,-y,-z'
'-x,y,-z'
'x,-y,z'
'x+1/2,y+1/2,z'
'-x+1/2,-y+1/2,-z'
'-x+1/2,y+1/2,-z'
'x+1/2,-y+1/2,z'
loop_
_atom_site_label
_atom_site_type_symbol
_atom_site_fract_x
_atom_site_fract_y
_atom_site_fract_z
Li1 Li 0.241 0.000 0.188
Hg1 Hg 0.000 0.000 0.500
P1 P 0.000 0.500 0.000
```

E_form, meV/atom: -287.3